Entry 1:
## AcLaScSn (GGA-PBE)

Data for an optimized crystal structure of AcLaScSn.

## Properties
ΔE_f	-170	meV/atom

Cell: 5.5497 5.5497 5.5497 Å, 60.00 60.00 60.00°
With the nearest neighbours (Å) after each atom.
Atoms (fractional coordinates):
La1 0.7500 0.7500 0.7500  4 Sn 3.40, 4 Ac 3.40
Sn1 0.0000 0.0000 0.0000  4 La 3.40, 4 Sc 3.40
Ac1 0.5000 0.5000 0.5000  4 La 3.40, 4 Sc 3.40
Sc1 0.2500 0.2500 0.2500  4 Ac 3.40, 4 Sn 3.40

Entry 2:
## Ac2LaScTe4 (GGA-PBE)

Data for an optimized crystal structure of Ac2LaScTe4.

## Properties
uncorrected formation energy	-11.06	eV/f.u.

Cell: 4.4867 7.8400 8.0646 Å, 108.57 90.00 90.00°
With the nearest neighbours (Å) after each atom.
Atoms (fractional coordinates):
Te1 0.5000 0.2256 0.2194  2 Sc 3.05, 1 La 3.19, 1 Ac 3.29
Ac1 0.0000 0.5000 0.5000  6 Te 3.41-3.42
Te2 0.0000 0.7576 0.2291  1 Sc 3.04, 2 La 3.19, 2 Ac 3.28
La1 0.5000 0.5000 0.0000  6 Te 3.19
Sc1 0.0000 0.0000 0.0000  6 Te 3.04-3.05
Te3 0.5000 0.7744 0.7806  2 Sc 3.05, 1 La 3.19, 1 Ac 3.29
Te4 0.0000 0.2424 0.7709  1 Sc 3.04, 2 La 3.19, 2 Ac 3.28
Ac2 0.5000 0.0000 0.5000  6 Te 3.28-3.29

Entry 3:
## Ac2LaScTe6 (GGA-PBE)

Data for an optimized crystal structure of Ac2LaScTe6.

## Properties
uncorrected formation energy	-14.84	eV/f.u.

Cell: 7.5624 8.5002 11.3413 Å, 90.00 88.07 90.00°
With the nearest neighbours (Å) after each atom.
Atoms (fractional coordinates):
La1 0.0000 0.5000 0.0000  6 Te 3.16-3.20
Te1 0.8436 0.8089 0.5650  1 Sc 2.96, 1 La 3.17
Te2 0.1564 0.1911 0.4350  1 Sc 2.96, 1 La 3.17
Sc1 0.0000 0.5000 0.5000  6 Te 2.92-2.96
Te3 0.6769 0.3286 0.5662  1 Sc 2.92, 1 La 3.20
La2 0.5000 0.0000 0.5000  6 Te 3.16-3.20
Ac1 0.5479 0.6120 0.7565  6 Te 3.31-3.49
Te4 0.3436 0.6911 0.0650  1 Sc 2.96, 1 La 3.17
Te5 0.3231 0.6714 0.4338  1 Sc 2.92, 1 La 3.20
Sc2 0.5000 0.0000 0.0000  6 Te 2.92-2.96
Te6 0.8614 0.5352 0.2642  1 Sc 2.92, 1 La 3.16
Te7 0.1386 0.4648 0.7358  1 Sc 2.92, 1 La 3.16
Te8 0.3614 0.9648 0.7642  1 Sc 2.92, 1 La 3.16
Te9 0.6386 0.0352 0.2358  1 Sc 2.92, 1 La 3.16
Te10 0.1769 0.1714 0.0662  1 Sc 2.92, 1 La 3.20
Te11 0.6564 0.3089 0.9350  1 Sc 2.96, 1 La 3.17
Ac2 0.4521 0.3880 0.2435  6 Te 3.31-3.49
Ac3 0.9521 0.1120 0.7435  6 Te 3.31-3.49
Te12 0.8231 0.8286 0.9338  1 Sc 2.92, 1 La 3.20
Ac4 0.0479 0.8880 0.2565  6 Te 3.31-3.49

Number 1: calculated total energy -20.05 eV per formula unit. Number 2: calculated total energy -43.10 eV per formula unit. Number 3: calculated total energy -53.16 eV per formula unit.